Model i:
First-principles (PBE-GGA) data for a relaxed structure of SiTeAuN2, as listed in Alexandria.

Lattice parameters (Å, degrees): 3.6561 3.6561 6.4973 90.00 90.00 90.00
With the nearest neighbours (Å) after each atom.
Space group P4/mmm (No. 123)
One atom of each set of equivalent atoms:
Si: 0.0000 0.0000 0.0000 x1  4 N 1.83
Te: 0.0000 0.0000 0.5000 x1  4 Au 2.59
Au: 0.5000 0.5000 0.5000 x1  4 Te 2.59
N: 0.0000 0.5000 0.0000 x2  2 Si 1.83

Results
Fermi-level density of states ... 3.5 states/eV per cell
M_tot ... 0.039 μB per atom

Model ii:
First-principles (PBE-GGA) data for a relaxed structure of SiTeAuN2, as listed in Alexandria.

Lattice parameters (Å, degrees): 3.9632 3.9632 7.6900 90.00 90.00 90.00
With the nearest neighbours (Å) after each atom.
Space group P4/mmm (No. 123)
One atom of each set of equivalent atoms:
Si: 0.0000 0.0000 0.0000 x1  4 Te 2.80
Te: 0.5000 0.5000 0.0000 x1  4 Si 2.80
Au: 0.5000 0.5000 0.5000 x1  4 N 1.98
N: 0.0000 0.5000 0.5000 x2  2 Au 1.98

Results
Fermi-level density of states ... 2.2 states/eV per cell
M_tot ... 0.547 μB per atom

Most stable one: model i, least stable one: model ii.

Model i:
First-principles (PBE-GGA) data for a relaxed structure of Sm4Au2N, as listed in Alexandria.

Lattice parameters (Å, degrees): 4.8819 4.8819 14.7595 90.00 90.00 90.00
With the nearest neighbours (Å) after each atom.
Space group I4/mmm (No. 139)
One atom of each set of equivalent atoms:
Sm: 0.0000 0.0000 0.1741 x4  1 N 2.57
Sm: 0.0000 0.5000 0.0000 x4  2 N 2.44
Au: 0.0000 0.0000 0.3709 x4  5 Sm 2.90-3.10
N: 0.0000 0.0000 0.0000 x2  6 Sm 2.44-2.57

Results
Fermi-level density of states ... 16.2 states/eV per cell
M_tot ... 0.000 μB per atom

Model ii:
First-principles (PBE-GGA) data for a relaxed structure of Sm4Au2N, as listed in Alexandria.

Lattice parameters (Å, degrees): 7.2109 12.9617 3.8213 90.00 90.00 90.00
With the nearest neighbours (Å) after each atom.
Space group Pbam (No. 55)
One atom of each set of equivalent atoms:
Sm: 0.1048 0.1842 0.0000 x4  1 N 2.50
Sm: 0.2258 0.9594 0.5000 x4  2 N 2.57
Au: 0.0766 0.6683 0.5000 x4  6 Sm 2.99-3.06
N: 0.0000 0.0000 0.0000 x2  6 Sm 2.50-2.57

Results
Fermi-level density of states ... 13.3 states/eV per cell
M_tot ... 0.163 μB per atom

Most stable one: model i, least stable one: model ii.